(1)
Material: BaTi4Bi4O15
Method: DFT, PBEsol
State: optimized geometry

Geometry as CIF:
```
data_BaTi4Bi4O15
_chemical_formula_sum 'Ba1 Ti4 Bi4 O15'
_symmetry_space_group_name_H-M 'P 1'
_symmetry_Int_Tables_number 1
_cell_length_a 3.855
_cell_length_b 3.855
_cell_length_c 20.265
_cell_angle_alpha 95.46
_cell_angle_beta 95.46
_cell_angle_gamma 90.00
loop_
_symmetry_equiv_pos_as_xyz
'x,y,z'
loop_
_atom_site_label
_atom_site_type_symbol
_atom_site_fract_x
_atom_site_fract_y
_atom_site_fract_z
Ti1 Ti 0.449 0.449 0.898
Ti2 Ti 0.348 0.348 0.695
Ti3 Ti 0.551 0.551 0.102
Ti4 Ti 0.652 0.652 0.305
O1 O 0.948 0.448 0.897
O2 O 0.250 0.750 0.500
O3 O 0.643 0.143 0.286
O4 O 0.552 0.052 0.103
O5 O 0.357 0.857 0.714
O6 O 0.303 0.303 0.607
O7 O 0.500 0.500 0.000
O8 O 0.857 0.357 0.714
O9 O 0.750 0.250 0.500
O10 O 0.401 0.401 0.803
O11 O 0.599 0.599 0.197
O12 O 0.143 0.643 0.286
O13 O 0.697 0.697 0.393
O14 O 0.448 0.948 0.897
O15 O 0.052 0.552 0.103
Bi1 Bi 0.104 0.104 0.207
Bi2 Bi 0.219 0.219 0.438
Bi3 Bi 0.781 0.781 0.562
Bi4 Bi 0.896 0.896 0.793
Ba1 Ba 0.000 0.000 0.000
```

Calculated values
* symmetry: No. 139
* formation energy from raw total energies: -2.307 eV/atom
* ρ: 7.815 Mg/m³
* N(E_F): 0.0 states/eV/cell
* V: 12.4 Å³ per atom
* total magnetization: 0.000 μB/atom
* raw total energy: -7.78 eV per atom

=====

(2)
Material: BaBi2P2
Method: DFT, PBEsol
State: optimized geometry

Geometry as CIF:
```
data_BaBi2P2
_chemical_formula_sum 'Ba1 Bi2 P2'
_symmetry_space_group_name_H-M 'P 1'
_symmetry_Int_Tables_number 1
_cell_length_a 5.391
_cell_length_b 5.391
_cell_length_c 6.368
_cell_angle_alpha 115.04
_cell_angle_beta 115.04
_cell_angle_gamma 90.00
loop_
_symmetry_equiv_pos_as_xyz
'x,y,z'
loop_
_atom_site_label
_atom_site_type_symbol
_atom_site_fract_x
_atom_site_fract_y
_atom_site_fract_z
Bi1 Bi 0.338 0.338 0.675
Bi2 Bi 0.662 0.662 0.325
P1 P 0.750 0.250 0.500
P2 P 0.250 0.750 0.500
Ba1 Ba 0.000 0.000 0.000
```

Calculated values
* symmetry: No. 139
* ρ: 6.913 Mg/m³
* N(E_F): 1.9 states/eV/cell
* calculated formation energy: -124 kJ/mol of formula units
* V: 29.7 Å³ per atom
* total magnetization: 0.000 μB/atom
* raw total energy: -4.72 eV per atom

=====

(3)
Material: BaBiP2S
Method: DFT, PBEsol
State: optimized geometry

Geometry as CIF:
```
data_BaBiP2S
_chemical_formula_sum 'Ba1 Bi1 P2 S1'
_symmetry_space_group_name_H-M 'P 1'
_symmetry_Int_Tables_number 1
_cell_length_a 5.191
_cell_length_b 5.191
_cell_length_c 5.349
_cell_angle_alpha 90.00
_cell_angle_beta 90.00
_cell_angle_gamma 90.00
loop_
_symmetry_equiv_pos_as_xyz
'x,y,z'
loop_
_atom_site_label
_atom_site_type_symbol
_atom_site_fract_x
_atom_site_fract_y
_atom_site_fract_z
S1 S 0.000 0.000 0.500
Bi1 Bi 0.000 0.000 0.000
P1 P 0.500 0.000 0.000
P2 P 0.000 0.500 0.000
Ba1 Ba 0.500 0.500 0.500
```

Calculated values
* symmetry: No. 123
* formation energy from raw total energies: 0.001 eV/atom
* ρ: 5.072 Mg/m³
* N(E_F): 5.7 states/eV/cell
* V: 28.8 Å³ per atom
* total magnetization: 0.000 μB/atom
* raw total energy: -4.48 eV per atom

=====

Question: The lowest raw total energy belongs to which entry?
Answer: BaTi4Bi4O15